(1)
Compound: SiTcAgAu2
Source: Alexandria via LeMat-Bulk
Functional: GGA-PBE
Structure: optimized geometry

Computed properties:
The total moment comes out at 0.79 μB per atom.

Geometry as POSCAR:
```
SiTcAgAu2
1.0
5.0679 0.0000 0.0000
0.0000 4.5526 0.0000
0.0000 0.0000 5.0679
Si Au Tc Ag
1 2 1 1
direct
0.0000 0.5000 0.0000
0.0000 0.0000 0.5000
0.5000 0.0000 0.0000
0.5000 0.5000 0.5000
0.0000 0.0000 0.0000
```

(2)
Compound: SiAg2TeAu
Source: Alexandria via LeMat-Bulk
Functional: GGA-PBE
Structure: optimized geometry

Computed properties:
The total moment comes out at 0.00 μB per atom.

Geometry as POSCAR:
```
SiAg2TeAu
1.0
4.9750 0.0000 0.0000
0.0000 4.7144 0.0000
0.0000 0.0000 4.9750
Si Te Au Ag
1 1 1 2
direct
0.0000 0.0000 0.0000
0.5000 0.5000 0.5000
0.0000 0.5000 0.0000
0.0000 0.0000 0.5000
0.5000 0.0000 0.0000
```

(3)
Compound: Si2AgTe6Au
Source: Alexandria via LeMat-Bulk
Functional: GGA-PBE
Structure: optimized geometry

Computed properties:
The total moment comes out at 0.00 μB per atom.

Geometry as POSCAR:
```
Si2AgTe6Au
1.0
-4.0715 2.7261 -4.8754
-5.4796 -7.4897 -2.7209
-7.6552 3.1120 5.0238
Si Ag Te Au
4 2 12 2
direct
0.2539 0.7762 0.6270
0.2461 0.3730 0.2238
0.7461 0.2238 0.3730
0.7539 0.6270 0.7762
0.2500 0.8630 0.1370
0.7500 0.1370 0.8630
0.1535 0.9542 0.8295
0.3465 0.1705 0.0458
0.8465 0.0458 0.1705
0.6535 0.8295 0.9542
0.4017 0.8972 0.3939
0.0983 0.6061 0.1028
0.5983 0.1028 0.6061
0.9017 0.3939 0.8972
0.9700 0.7004 0.5452
0.5300 0.4548 0.2996
0.0300 0.2996 0.4548
0.4700 0.5452 0.7004
0.2500 0.2724 0.7276
0.7500 0.7276 0.2724
```

(4)
Compound: Tl2Si3AgAu12
Source: Alexandria via LeMat-Bulk
Functional: GGA-PBE
Structure: optimized geometry

Computed properties:
The total moment comes out at 0.00 μB per atom.

Geometry as POSCAR:
```
Tl2Si3AgAu12
1.0
-4.9091 2.2916 -5.5520
-5.5031 -5.3386 -1.1794
-6.7489 2.2836 3.0681
Tl Si Ag Au
2 3 1 12
direct
0.6001 0.6001 0.6001
0.3999 0.3999 0.3999
0.5000 0.0000 0.0000
0.0000 0.5000 0.0000
0.0000 0.0000 0.5000
0.0000 0.0000 0.0000
0.3412 0.3412 0.8866
0.8509 0.8509 0.3841
0.3841 0.8509 0.8509
0.8866 0.3412 0.3412
0.8509 0.3841 0.8509
0.3412 0.8866 0.3412
0.6588 0.6588 0.1134
0.1491 0.1491 0.6159
0.6159 0.1491 0.1491
0.1134 0.6588 0.6588
0.1491 0.6159 0.1491
0.6588 0.1134 0.6588
```

(5)
Compound: TlSiAgAu2
Source: Alexandria via LeMat-Bulk
Functional: GGA-PBE
Structure: optimized geometry

Computed properties:
The total moment comes out at 0.00 μB per atom.

Geometry as POSCAR:
```
TlSiAgAu2
1.0
-0.6676 4.7203 -0.8421
-4.6930 -0.4690 1.0917
1.0109 0.9945 4.7731
Tl Au Si Ag
1 2 1 1
direct
0.5000 0.5000 0.5000
0.0000 0.5000 0.0000
0.5000 0.0000 0.0000
0.0000 0.0000 0.0000
0.0000 0.0000 0.5000
```

(6)
Compound: YSi2AgAu
Source: Alexandria via LeMat-Bulk
Functional: GGA-PBE
Structure: optimized geometry

Computed properties:
The total moment comes out at 0.00 μB per atom.

Geometry as POSCAR:
```
YSi2AgAu
1.0
-3.1040 3.4176 -1.1195
-2.1089 -3.2366 -4.0335
-3.1170 -1.8190 3.0894
Y Si Au Ag
1 2 1 1
direct
0.0000 0.5000 0.0000
0.0000 0.0000 0.5000
0.5000 0.0000 0.0000
0.0000 0.0000 0.0000
0.5000 0.5000 0.5000
```

no.,formation energy from raw total energies (eV/atom)
1,1.3718
2,0.4264
3,0.0487
4,0.1234
5,0.0818
6,0.4982